Below is a crystal of SrAsRh relaxed with PBEsol, with properties calculated at the SCAN level.

Lattice parameters (Å, degrees): 3.3973 3.3973 10.7556 90.00 90.00 90.00
Fractional coordinates of all 6 atoms:
Sr: 0.0000 0.0000 0.0000
Sr: 0.5000 0.5000 0.5000
As: 0.0000 0.0000 0.7085
As: 0.5000 0.5000 0.2085
Rh: 0.0000 0.0000 0.2882
Rh: 0.5000 0.5000 0.7882

Computed properties:
DFT formation energy ... -0.609 eV per atom
Space-group type ... I4mm (107)
Total moment ... 0.00 μB per cell

Below is a crystal of Si2AgOs relaxed with PBEsol, with properties calculated at the SCAN level.

Lattice parameters (Å, degrees): 3.7214 3.7214 8.0469 90.00 90.00 90.00
Fractional coordinates of all 8 atoms:
Si: 0.0000 0.0000 0.0000
Si: 0.0000 0.5000 0.2500
Si: 0.5000 0.0000 0.7500
Si: 0.5000 0.5000 0.5000
Ag: 0.0000 0.0000 0.5000
Ag: 0.5000 0.5000 0.0000
Os: 0.0000 0.5000 0.7500
Os: 0.5000 0.0000 0.2500

Computed properties:
Uncorrected formation energy ... 387.8 meV per atom
Space-group type ... I-4m2 (119)
Total moment ... 0.00 μB per cell

Below is a crystal of BeCo2Se relaxed with PBEsol, with properties calculated at the SCAN level.

Lattice parameters (Å, degrees): 3.0463 3.0463 4.7309 90.00 90.00 90.00
Fractional coordinates of all 4 atoms:
Be: 0.0000 0.0000 0.0000
Co: 0.0000 0.0000 0.4789
Co: 0.5000 0.5000 0.1623
Se: 0.5000 0.5000 0.6751

Computed properties:
Uncorrected formation energy ... 134.7 meV per atom
Space-group type ... P4mm (99)
Total moment ... 1.77 μB per cell

Below is a crystal of AlAsPdBr2 relaxed with PBEsol, with properties calculated at the SCAN level.

Lattice parameters (Å, degrees): 4.8506 4.8506 4.9469 90.00 90.00 90.00
Fractional coordinates of all 5 atoms:
Al: 0.0000 0.0000 0.0000
As: 0.0000 0.0000 0.5000
Pd: 0.5000 0.5000 0.5000
Br: 0.0000 0.5000 0.0000
Br: 0.5000 0.0000 0.0000

Computed properties:
Uncorrected formation energy ... 287.3 meV per atom
Space-group type ... P4/mmm (123)
Total moment ... 1.43 μB per cell